{
  "formula": "YTe2Ir",
  "functional": "PBE",
  "state": "relaxed",
  "lattice": [[5.9657, 0.0000, 0.0000], [0.0000, 9.5229, 0.0000], [-2.9737, 0.0000, 3.5709]],
  "species": ["Y", "Y", "Te", "Te", "Te", "Te", "Ir", "Ir"],
  "fractional_positions": [[0.0000, 0.0000, 0.0000], [0.5000, 0.5000, 0.0000], [0.2500, 0.2500, 0.5000], [0.2500, 0.7500, 0.5000], [0.7500, 0.2500, 0.5000], [0.7500, 0.7500, 0.5000], [0.0000, 0.5000, 0.0000], [0.5000, 0.0000, 0.0000]],
  "magmom_total_mub_per_fu": 0.0,
  "dft_energy_ev_per_atom": -5.65,
  "polymorph_energy_mev_per_atom": 477,
  "formation_energy_uncorrected_ev_per_fu": -1.0,
  "spacegroup": "C2/m (12)"
}

***

{
  "formula": "Y2TeIr",
  "functional": "PBE",
  "state": "relaxed",
  "lattice": [[4.5707, 0.0000, 0.0000], [0.0000, 5.6734, 0.0000], [0.0000, 0.0000, 7.5317]],
  "species": ["Y", "Y", "Y", "Y", "Te", "Te", "Ir", "Ir"],
  "fractional_positions": [[0.0000, 0.0000, 0.2328], [0.0000, 0.0000, 0.7672], [0.5000, 0.5000, 0.2672], [0.5000, 0.5000, 0.7328], [0.0000, 0.5000, 0.0000], [0.5000, 0.0000, 0.5000], [0.0000, 0.5000, 0.5000], [0.5000, 0.0000, 0.0000]],
  "magmom_total_mub_per_fu": 0.0,
  "dft_energy_ev_per_atom": -6.93,
  "formation_energy_uncorrected_ev_per_fu": -2.8,
  "spacegroup": "Immm (71)"
}

***

{
  "formula": "Y2TeIr",
  "functional": "PBE",
  "state": "relaxed",
  "lattice": [[3.7811, 0.0000, 0.0000], [0.0000, 3.9176, 0.0000], [0.0000, 0.0000, 14.5229]],
  "species": ["Y", "Y", "Y", "Y", "Te", "Te", "Ir", "Ir"],
  "fractional_positions": [[0.0000, 0.0000, 0.0000], [0.0000, 0.5000, 0.2169], [0.5000, 0.0000, 0.7169], [0.5000, 0.5000, 0.5000], [0.0000, 0.0000, 0.3920], [0.5000, 0.5000, 0.8920], [0.0000, 0.5000, 0.6440], [0.5000, 0.0000, 0.1440]],
  "magmom_total_mub_per_fu": 0.0,
  "dft_energy_ev_per_atom": -7.09,
  "formation_energy_uncorrected_ev_per_fu": -3.4,
  "spacegroup": "Imm2 (44)"
}

***

{
  "formula": "YTeIr2",
  "functional": "PBE",
  "state": "relaxed",
  "lattice": [[6.7904, 0.0000, 0.0000], [0.0000, 6.7904, 0.0000], [0.0000, 0.0000, 6.7904]],
  "species": ["Y", "Y", "Y", "Y", "Te", "Te", "Te", "Te", "Ir", "Ir", "Ir", "Ir", "Ir", "Ir", "Ir", "Ir"],
  "fractional_positions": [[0.0000, 0.0000, 0.0000], [0.0000, 0.5000, 0.5000], [0.5000, 0.0000, 0.5000], [0.5000, 0.5000, 0.0000], [0.2500, 0.2500, 0.7500], [0.2500, 0.7500, 0.2500], [0.7500, 0.2500, 0.2500], [0.7500, 0.7500, 0.7500], [0.0000, 0.0000, 0.5000], [0.0000, 0.5000, 0.0000], [0.2500, 0.2500, 0.2500], [0.2500, 0.7500, 0.7500], [0.5000, 0.0000, 0.0000], [0.5000, 0.5000, 0.5000], [0.7500, 0.2500, 0.7500], [0.7500, 0.7500, 0.2500]],
  "magmom_total_mub_per_fu": 0.0,
  "dft_energy_ev_per_atom": -6.73,
  "formation_energy_uncorrected_ev_per_fu": 0.4,
  "spacegroup": "F-43m (216)"
}

***

{
  "formula": "Y2TeIr",
  "functional": "PBE",
  "state": "relaxed",
  "lattice": [[4.1451, 0.0000, 0.0000], [0.0000, 4.1451, 0.0000], [0.0000, 0.0000, 6.3940]],
  "species": ["Y", "Y", "Te", "Ir"],
  "fractional_positions": [[0.0000, 0.0000, 0.0000], [0.5000, 0.5000, 0.3814], [0.5000, 0.5000, 0.8670], [0.0000, 0.0000, 0.4036]],
  "magmom_total_mub_per_fu": 0.0,
  "dft_energy_ev_per_atom": -7.07,
  "formation_energy_uncorrected_ev_per_fu": -3.4,
  "spacegroup": "P4mm (99)"
}

***

{
  "formula": "Y2TeIr",
  "functional": "PBE",
  "state": "relaxed",
  "lattice": [[7.6568, 0.0000, 0.0000], [0.0000, 7.6568, 0.0000], [0.0000, 0.0000, 7.7432]],
  "species": ["Y", "Y", "Y", "Y", "Y", "Y", "Y", "Y", "Te", "Te", "Te", "Te", "Ir", "Ir", "Ir", "Ir"],
  "fractional_positions": [[0.2104, 0.2500, 0.1250], [0.2500, 0.7104, 0.3750], [0.2500, 0.7896, 0.8750], [0.2896, 0.2500, 0.6250], [0.7104, 0.7500, 0.6250], [0.7500, 0.2104, 0.8750], [0.7500, 0.2896, 0.3750], [0.7896, 0.7500, 0.1250], [0.0000, 0.0000, 0.5000], [0.0000, 0.5000, 0.7500], [0.5000, 0.0000, 0.2500], [0.5000, 0.5000, 0.0000], [0.0000, 0.0000, 0.0000], [0.0000, 0.5000, 0.2500], [0.5000, 0.0000, 0.7500], [0.5000, 0.5000, 0.5000]],
  "magmom_total_mub_per_fu": 0.0,
  "dft_energy_ev_per_atom": -6.82,
  "formation_energy_uncorrected_ev_per_fu": -2.4,
  "spacegroup": "I-42d (122)"
}

***

{
  "formula": "YTe2Ir",
  "functional": "PBE",
  "state": "relaxed",
  "lattice": [[3.6894, 0.0000, 0.0000], [0.0000, 3.6894, 0.0000], [0.0000, 0.0000, 8.0347]],
  "species": ["Y", "Te", "Te", "Ir"],
  "fractional_positions": [[0.0000, 0.0000, 0.0000], [0.0000, 0.0000, 0.3829], [0.5000, 0.5000, 0.8107], [0.5000, 0.5000, 0.2656]],
  "magmom_total_mub_per_fu": 0.0,
  "dft_energy_ev_per_atom": -5.87,
  "polymorph_energy_mev_per_atom": 258,
  "formation_energy_uncorrected_ev_per_fu": -1.9,
  "spacegroup": "P4mm (99)"
}

***

{
  "formula": "YTe2Ir",
  "functional": "PBE",
  "state": "relaxed",
  "lattice": [[7.2312, 0.0000, 0.0000], [0.0000, 7.2312, 0.0000], [0.0000, 0.0000, 7.2312]],
  "species": ["Y", "Y", "Y", "Y", "Te", "Te", "Te", "Te", "Te", "Te", "Te", "Te", "Ir", "Ir", "Ir", "Ir"],
  "fractional_positions": [[0.0000, 0.0000, 0.0000], [0.0000, 0.5000, 0.5000], [0.5000, 0.0000, 0.5000], [0.5000, 0.5000, 0.0000], [0.0000, 0.0000, 0.5000], [0.0000, 0.5000, 0.0000], [0.2500, 0.2500, 0.2500], [0.2500, 0.7500, 0.7500], [0.5000, 0.0000, 0.0000], [0.5000, 0.5000, 0.5000], [0.7500, 0.2500, 0.7500], [0.7500, 0.7500, 0.2500], [0.2500, 0.2500, 0.7500], [0.2500, 0.7500, 0.2500], [0.7500, 0.2500, 0.2500], [0.7500, 0.7500, 0.7500]],
  "magmom_total_mub_per_fu": 0.0,
  "dft_energy_ev_per_atom": -5.43,
  "polymorph_energy_mev_per_atom": 704,
  "formation_energy_uncorrected_ev_per_fu": -0.1,
  "spacegroup": "F-43m (216)"
}

***

{
  "formula": "Y3Te2Ir",
  "functional": "PBE",
  "state": "relaxed",
  "lattice": [[4.1480, 0.0000, 0.0000], [0.0000, 6.0847, 0.0000], [0.0000, 0.0000, 13.3192]],
  "species": ["Y", "Y", "Y", "Y", "Y", "Y", "Te", "Te", "Te", "Te", "Ir", "Ir"],
  "fractional_positions": [[0.0000, 0.0000, 0.0000], [0.0000, 0.0000, 0.3644], [0.0000, 0.0000, 0.6356], [0.5000, 0.5000, 0.1356], [0.5000, 0.5000, 0.5000], [0.5000, 0.5000, 0.8644], [0.0000, 0.5000, 0.3211], [0.0000, 0.5000, 0.6789], [0.5000, 0.0000, 0.1789], [0.5000, 0.0000, 0.8211], [0.0000, 0.5000, 0.0000], [0.5000, 0.0000, 0.5000]],
  "magmom_total_mub_per_fu": 0.0,
  "dft_energy_ev_per_atom": -6.88,
  "formation_energy_uncorrected_ev_per_fu": -6.7,
  "spacegroup": "Immm (71)"
}

***

{
  "formula": "YTe2Ir",
  "functional": "PBE",
  "state": "relaxed",
  "lattice": [[3.9026, 0.0000, 0.0000], [0.0000, 4.6763, 0.0000], [0.0000, 0.0000, 13.8867]],
  "species": ["Y", "Y", "Te", "Te", "Te", "Te", "Ir", "Ir"],
  "fractional_positions": [[0.0000, 0.0000, 0.0000], [0.5000, 0.5000, 0.5000], [0.0000, 0.5000, 0.1385], [0.0000, 0.5000, 0.8615], [0.5000, 0.0000, 0.3615], [0.5000, 0.0000, 0.6385], [0.0000, 0.0000, 0.5000], [0.5000, 0.5000, 0.0000]],
  "magmom_total_mub_per_fu": 0.0,
  "dft_energy_ev_per_atom": -6.13,
  "polymorph_energy_mev_per_atom": 0,
  "formation_energy_uncorrected_ev_per_fu": -2.9,
  "spacegroup": "Immm (71)"
}

***

{
  "formula": "YTe2Ir",
  "functional": "PBE",
  "state": "relaxed",
  "lattice": [[4.0581, 0.0000, 0.0000], [0.0000, 3.9030, 0.0000], [-2.0106, 0.0000, 7.1870]],
  "species": ["Y", "Te", "Te", "Ir"],
  "fractional_positions": [[0.0000, 0.0000, 0.0000], [0.3090, 0.0000, 0.6134], [0.6087, 0.5000, 0.2190], [0.4256, 0.5000, 0.8503]],
  "magmom_total_mub_per_fu": 0.0,
  "dft_energy_ev_per_atom": -6.09,
  "polymorph_energy_mev_per_atom": 43,
  "formation_energy_uncorrected_ev_per_fu": -2.7,
  "spacegroup": "Pm (6)"
}

***

{
  "formula": "Y2TeIr",
  "functional": "PBE",
  "state": "relaxed",
  "lattice": [[4.1428, 0.0000, 0.0000], [-2.0714, 3.5878, 0.0000], [0.0000, 0.0000, 21.6798]],
  "species": ["Y", "Y", "Y", "Y", "Y", "Y", "Te", "Te", "Te", "Ir", "Ir", "Ir"],
  "fractional_positions": [[0.0000, 0.0000, 0.2362], [0.0000, 0.0000, 0.7638], [0.3333, 0.6667, 0.4305], [0.3333, 0.6667, 0.9028], [0.6667, 0.3333, 0.0972], [0.6667, 0.3333, 0.5695], [0.0000, 0.0000, 0.0000], [0.3333, 0.6667, 0.6667], [0.6667, 0.3333, 0.3333], [0.0000, 0.0000, 0.5000], [0.3333, 0.6667, 0.1667], [0.6667, 0.3333, 0.8333]],
  "magmom_total_mub_per_fu": 0.0,
  "dft_energy_ev_per_atom": -7.24,
  "formation_energy_uncorrected_ev_per_fu": -4.0,
  "spacegroup": "R-3m (166)"
}

***

{
  "formula": "YTeIr",
  "functional": "PBE",
  "state": "relaxed",
  "lattice": [[4.4757, 0.0000, 0.0000], [-2.2378, 3.8760, 0.0000], [0.0000, 0.0000, 3.9239]],
  "species": ["Y", "Te", "Ir"],
  "fractional_positions": [[0.0000, 0.0000, 0.0000], [0.3333, 0.6667, 0.5136], [0.6667, 0.3333, 0.4351]],
  "magmom_total_mub_per_fu": 0.0,
  "dft_energy_ev_per_atom": -6.94,
  "formation_energy_uncorrected_ev_per_fu": -2.4,
  "spacegroup": "P3m1 (156)"
}

***

{
  "formula": "YTeIr2",
  "functional": "PBE",
  "state": "relaxed",
  "lattice": [[3.2992, 0.0000, 0.0000], [-1.6496, 2.8572, 0.0000], [0.0000, 0.0000, 25.9300]],
  "species": ["Y", "Y", "Y", "Te", "Te", "Te", "Ir", "Ir", "Ir", "Ir", "Ir", "Ir"],
  "fractional_positions": [[0.0000, 0.0000, 0.0000], [0.3333, 0.6667, 0.6667], [0.6667, 0.3333, 0.3333], [0.0000, 0.0000, 0.5000], [0.3333, 0.6667, 0.1667], [0.6667, 0.3333, 0.8333], [0.0000, 0.0000, 0.2483], [0.0000, 0.0000, 0.7517], [0.3333, 0.6667, 0.4183], [0.3333, 0.6667, 0.9150], [0.6667, 0.3333, 0.0850], [0.6667, 0.3333, 0.5817]],
  "magmom_total_mub_per_fu": 0.0,
  "dft_energy_ev_per_atom": -6.70,
  "formation_energy_uncorrected_ev_per_fu": 0.5,
  "spacegroup": "R-3m (166)"
}

***

{
  "formula": "YTe2Ir",
  "functional": "PBE",
  "state": "relaxed",
  "lattice": [[6.4683, 0.0000, 0.0000], [0.0000, 6.4683, 0.0000], [0.0000, 0.0000, 12.5971]],
  "species": ["Y", "Y", "Y", "Y", "Te", "Te", "Te", "Te", "Te", "Te", "Te", "Te", "Ir", "Ir", "Ir", "Ir"],
  "fractional_positions": [[0.0000, 0.0000, 0.0000], [0.0000, 0.5000, 0.2500], [0.5000, 0.0000, 0.7500], [0.5000, 0.5000, 0.5000], [0.1975, 0.2500, 0.6250], [0.2500, 0.6975, 0.8750], [0.2500, 0.8025, 0.3750], [0.3025, 0.2500, 0.1250], [0.6975, 0.7500, 0.1250], [0.7500, 0.1975, 0.3750], [0.7500, 0.3025, 0.8750], [0.8025, 0.7500, 0.6250], [0.0000, 0.0000, 0.5000], [0.0000, 0.5000, 0.7500], [0.5000, 0.0000, 0.2500], [0.5000, 0.5000, 0.0000]],
  "magmom_total_mub_per_fu": 0.0,
  "dft_energy_ev_per_atom": -5.66,
  "polymorph_energy_mev_per_atom": 467,
  "formation_energy_uncorrected_ev_per_fu": -1.0,
  "spacegroup": "I-42d (122)"
}